Material: La2NdGaI3
Method: DFT, PBE
State: optimized geometry

* mass density: 5663 kg/m³
* magnetic moment: 0.001 Bohr magnetons per cell

a b c (Å): 6.3497 6.3497 6.3459
angles (deg): 90.00 90.00 90.00
Positions (direct):
La  0.0000  0.5000  0.0000
La  0.5000  0.0000  0.0000
Nd  0.0000  0.0000  0.5000
Ga  0.0000  0.0000  0.0000
I  0.0000  0.5000  0.5000
I  0.5000  0.0000  0.5000
I  0.5000  0.5000  0.0000

=====

Material: LaPrGa2I2
Method: DFT, PBE
State: optimized geometry

* mass density: 5613 kg/m³
* magnetic moment: 0.000 Bohr magnetons per cell

a b c (Å): 4.3442 4.3442 12.1840
angles (deg): 90.00 90.00 120.00
Positions (direct):
La  0.0000  0.0000  0.0000
Pr  0.0000  0.0000  0.6487
Ga  0.3333  0.6667  0.8465
Ga  0.6667  0.3333  0.7979
I  0.3333  0.6667  0.4787
I  0.6667  0.3333  0.1749

=====

Material: LaPr2GaI3
Method: DFT, PBE
State: optimized geometry

* mass density: 5690 kg/m³
* magnetic moment: 0.001 Bohr magnetons per cell

a b c (Å): 6.3326 6.3326 6.3403
angles (deg): 90.00 90.00 90.00
Positions (direct):
La  0.0000  0.0000  0.0000
Pr  0.0000  0.5000  0.5000
Pr  0.5000  0.0000  0.5000
Ga  0.0000  0.0000  0.5000
I  0.0000  0.5000  0.0000
I  0.5000  0.0000  0.0000
I  0.5000  0.5000  0.5000

=====

Material: NdLuGa2I2
Method: DFT, PBE
State: optimized geometry

* mass density: 6258 kg/m³
* magnetic moment: 0.005 Bohr magnetons per cell

a b c (Å): 4.2199 4.2199 12.2596
angles (deg): 90.00 90.00 120.00
Positions (direct):
Nd  0.0000  0.0000  0.0000
Lu  0.0000  0.0000  0.3308
Ga  0.3333  0.6667  0.2000
Ga  0.6667  0.3333  0.1439
I  0.3333  0.6667  0.8289
I  0.6667  0.3333  0.4888

=====

Material: PrLuGa2I2
Method: DFT, PBE
State: optimized geometry

* mass density: 6183 kg/m³
* magnetic moment: 0.015 Bohr magnetons per cell

a b c (Å): 4.2276 4.2276 12.3041
angles (deg): 90.00 90.00 120.00
Positions (direct):
Pr  0.0000  0.0000  0.0000
Lu  0.0000  0.0000  0.3317
Ga  0.3333  0.6667  0.2014
Ga  0.6667  0.3333  0.1464
I  0.3333  0.6667  0.8267
I  0.6667  0.3333  0.4884

=====

Material: SmLuGa2I2
Method: DFT, PBE
State: optimized geometry

* mass density: 6434 kg/m³
* magnetic moment: 0.004 Bohr magnetons per cell

a b c (Å): 4.1958 4.1958 12.1633
angles (deg): 90.00 90.00 120.00
Positions (direct):
Sm  0.0000  0.0000  0.0000
Lu  0.0000  0.0000  0.3306
Ga  0.3333  0.6667  0.1989
Ga  0.6667  0.3333  0.1421
I  0.3333  0.6667  0.8299
I  0.6667  0.3333  0.4900

=====

no.,raw total energy (eV for the cell shown)
1,-29.743
2,-25.500
3,-29.456
4,-24.477
5,-24.490
6,-24.404